(1)
Below is a geometry-optimized ErTmCoPt structure, with properties calculated at the PBE-GGA level.

Lattice parameters (Å, degrees): 6.778 6.778 6.778 90.00 90.00 90.00
Space group F-43m (No. 216)
One atom of each set of equivalent atoms:
Er 0.000 0.000 0.000 (multiplicity 4)
Tm 0.000 0.000 0.500 (multiplicity 4)
Co 0.250 0.250 0.250 (multiplicity 4)
Pt 0.250 0.250 0.750 (multiplicity 4)

Calculated values
Density of states at the Fermi level ... 2.60 states/eV/f.u.
ΔE_f ... -0.727 eV/atom
Crystal system ... cubic

(2)
Below is a geometry-optimized BaPrB12 structure, with properties calculated at the PBE-GGA level.

Lattice parameters (Å, degrees): 8.413 8.413 8.413 90.00 90.00 90.00
Space group Fm-3m (No. 225)
One atom of each set of equivalent atoms:
Ba 0.000 0.000 0.000 (multiplicity 4)
Pr 0.000 0.000 0.500 (multiplicity 4)
B 0.101 0.250 0.250 (multiplicity 48)

Calculated values
Density of states at the Fermi level ... 3.40 states/eV/f.u.
ΔE_f ... -0.450 eV/atom
Crystal system ... cubic